[1]
Here is crystalline TeRu3 at its relaxed geometry from Alexandria. Energies are from GGA-PBE.

Values from the calculation:
The theoretical density comes out at 9739 kg/m³. The calculation puts the energy relative to the lowest polymorph listed for this composition at 175 meV/atom. The raw total energy comes out at -7.238 eV/atom.

Unit cell a=7.6702 b=8.7043 c=4.4009 alpha=90.00 beta=90.00 gamma=90.00
Space group Cmcm (No. 63)
Symmetry-distinct sites (fractional):
Te1 0.0000 0.1357 0.2500 x4
Ru1 0.0000 0.4358 0.2500 x4
Ru2 0.1626 0.2915 0.7500 x8

---

[2]
Here is crystalline TeRu3 at its relaxed geometry from Alexandria. Energies are from GGA-PBE.

Values from the calculation:
The theoretical density comes out at 11207 kg/m³. The calculation puts the energy relative to the lowest polymorph listed for this composition at 88 meV/atom. The raw total energy comes out at -7.325 eV/atom.

Unit cell a=2.9388 b=4.0718 c=5.4629 alpha=90.00 beta=102.44 gamma=90.00
Space group P2/m (No. 10)
Symmetry-distinct sites (fractional):
Te1 0.0000 0.0000 0.0000 x1
Ru1 0.0000 0.0000 0.5000 x1
Ru2 0.3947 0.5000 0.2606 x2

---

[3]
Here is crystalline Te3Ru at its relaxed geometry from Alexandria. Energies are from GGA-PBE.

Values from the calculation:
The theoretical density comes out at 7882 kg/m³. The raw total energy comes out at -4.331 eV/atom.

Unit cell a=8.1430 b=8.1430 c=7.1012 alpha=90.00 beta=90.00 gamma=120.00
Space group P6_3/mmc (No. 194)
Symmetry-distinct sites (fractional):
Te1 0.0000 0.5000 0.0000 x6
Te2 0.1427 0.2854 0.2500 x6
Ru1 0.0000 0.0000 0.0000 x2
Ru2 0.3333 0.6667 0.7500 x2

---

[4]
Here is crystalline TeRu3 at its relaxed geometry from Alexandria. Energies are from GGA-PBE.

Values from the calculation:
The theoretical density comes out at 11542 kg/m³. The calculation puts the energy relative to the lowest polymorph listed for this composition at 26 meV/atom. The raw total energy comes out at -7.387 eV/atom.

Unit cell a=4.4606 b=5.7617 c=4.8232 alpha=90.00 beta=90.00 gamma=90.00
Space group Pmmn (No. 59, origin choice 2)
Symmetry-distinct sites (fractional):
Te1 0.2500 0.2500 0.1644 x2
Ru1 0.2500 0.5039 0.6629 x4
Ru2 0.2500 0.7500 0.1803 x2

---

[5]
Here is crystalline Te4Ru5 at its relaxed geometry from Alexandria. Energies are from GGA-PBE.

Values from the calculation:
The theoretical density comes out at 10472 kg/m³. The calculation puts the energy relative to the lowest polymorph listed for this composition at 222 meV/atom. The raw total energy comes out at -6.109 eV/atom.

Unit cell a=7.9641 b=7.9641 c=5.8648 alpha=90.00 beta=90.00 gamma=120.00
Space group P6_3/mcm (No. 193)
Symmetry-distinct sites (fractional):
Te1 0.0000 0.0000 0.0000 x2
Te2 0.0000 0.3625 0.2500 x6
Ru1 0.0000 0.3246 0.7500 x6
Ru2 0.3333 0.6667 0.0000 x4

---

[6]
Here is crystalline Te3Ru at its relaxed geometry from Alexandria. Energies are from GGA-PBE.

Values from the calculation:
The theoretical density comes out at 8374 kg/m³. The raw total energy comes out at -3.890 eV/atom.

Unit cell a=5.7681 b=5.7681 c=5.7681 alpha=90.00 beta=90.00 gamma=90.00
Space group Pm-3n (No. 223)
Symmetry-distinct sites (fractional):
Te1 0.0000 0.2500 0.5000 x6
Ru1 0.0000 0.0000 0.0000 x2

---

[7]
Here is crystalline TeRu4 at its relaxed geometry from Alexandria. Energies are from GGA-PBE.

Values from the calculation:
The theoretical density comes out at 8183 kg/m³. The calculation puts the energy relative to the lowest polymorph listed for this composition at 1718 meV/atom. The raw total energy comes out at -6.094 eV/atom.

Unit cell a=4.7612 b=4.7612 c=4.7612 alpha=90.00 beta=90.00 gamma=90.00
Space group Pm-3m (No. 221)
Symmetry-distinct sites (fractional):
Te1 0.0000 0.0000 0.0000 x1
Ru1 0.0000 0.0000 0.5000 x3
Ru2 0.5000 0.5000 0.5000 x1

---

[8]
Here is crystalline TeRu3 at its relaxed geometry from Alexandria. Energies are from GGA-PBE.

Values from the calculation:
The theoretical density comes out at 11136 kg/m³. The calculation puts the energy relative to the lowest polymorph listed for this composition at 377 meV/atom. The raw total energy comes out at -7.036 eV/atom.

Unit cell a=5.0459 b=5.0459 c=5.0459 alpha=90.00 beta=90.00 gamma=90.00
Space group Pm-3n (No. 223)
Symmetry-distinct sites (fractional):
Te1 0.0000 0.0000 0.0000 x2
Ru1 0.0000 0.2500 0.5000 x6

---

[9]
Here is crystalline Te3Ru at its relaxed geometry from Alexandria. Energies are from GGA-PBE.

Values from the calculation:
The theoretical density comes out at 6658 kg/m³. The raw total energy comes out at -4.615 eV/atom.

Unit cell a=8.6332 b=8.6332 c=3.7387 alpha=90.00 beta=90.00 gamma=120.00
Space group P6_3/mmc (No. 194)
Symmetry-distinct sites (fractional):
Te1 0.2073 0.4145 0.2500 x6
Ru1 0.3333 0.6667 0.7500 x2

---

[10]
Here is crystalline Te3Ru at its relaxed geometry from Alexandria. Energies are from GGA-PBE.

Values from the calculation:
The theoretical density comes out at 7769 kg/m³. The raw total energy comes out at -4.605 eV/atom.

Unit cell a=3.7129 b=3.7129 c=25.9887 alpha=90.00 beta=90.00 gamma=120.00
Space group R-3m (No. 166, hexagonal axes)
Symmetry-distinct sites (fractional):
Te1 0.0000 0.0000 0.0000 x3
Te2 0.0000 0.0000 0.2274 x6
Ru1 0.0000 0.0000 0.5000 x3

---

[11]
Here is crystalline TeRu3 at its relaxed geometry from Alexandria. Energies are from GGA-PBE.

Values from the calculation:
The theoretical density comes out at 11305 kg/m³. The calculation puts the energy relative to the lowest polymorph listed for this composition at 23 meV/atom. The raw total energy comes out at -7.390 eV/atom.

Unit cell a=9.0442 b=2.9704 c=4.7585 alpha=90.00 beta=98.09 gamma=90.00
Space group C2/m (No. 12)
Symmetry-distinct sites (fractional):
Te1 0.0000 0.0000 0.0000 x2
Ru1 0.0000 0.5000 0.5000 x2
Ru2 0.2382 0.0000 0.7261 x4

---

[12]
Here is crystalline Te3Ru at its relaxed geometry from Alexandria. Energies are from GGA-PBE.

Values from the calculation:
The theoretical density comes out at 6821 kg/m³. The raw total energy comes out at -4.638 eV/atom.

Unit cell a=3.7728 b=11.2387 c=5.5560 alpha=90.00 beta=90.00 gamma=90.00
Space group Imm2 (No. 44)
Symmetry-distinct sites (fractional):
Te1 0.0000 0.0000 0.0000 x2
Te2 0.0000 0.1456 0.5039 x4
Ru1 0.0000 0.5000 0.8331 x2

---

Please write out number 4 again, unchanged.
Here is crystalline TeRu3 at its relaxed geometry from Alexandria. Energies are from GGA-PBE.

Values from the calculation:
The theoretical density comes out at 11542 kg/m³. The calculation puts the energy relative to the lowest polymorph listed for this composition at 26 meV/atom. The raw total energy comes out at -7.387 eV/atom.

Unit cell a=4.4606 b=5.7617 c=4.8232 alpha=90.00 beta=90.00 gamma=90.00
Space group Pmmn (No. 59, origin choice 2)
Symmetry-distinct sites (fractional):
Te1 0.2500 0.2500 0.1644 x2
Ru1 0.2500 0.5039 0.6629 x4
Ru2 0.2500 0.7500 0.1803 x2

---

> The lowest theoretical density belongs to which entry?

number 9